Computed, not measured: a relaxed KBe3Te crystal at the PBE level of DFT.

Values from the calculation:
The calculation puts the density of states at the Fermi level at 5.673 states/eV/f.u. The calculation puts the excess energy over the best structure of this formula in the dataset at 0.0 meV/atom. The calculation puts the total moment at 0.000 μB per cell. The value obtained for the formation energy without anion corrections is 1.186 eV per atom.

Lattice parameters (Å, degrees): 5.049 5.049 5.049 90.00 90.00 90.00
Space group Pm-3m (No. 221)
Asymmetric unit:
K 0.000 0.000 0.000 x1
Be 0.000 0.500 0.500 x3
Te 0.500 0.500 0.500 x1

Computed, not measured: a relaxed KBeTe crystal at the PBE level of DFT.

Values from the calculation:
The calculation puts the density of states at the Fermi level at 1.389 states/eV/f.u. The calculation puts the excess energy over the best structure of this formula in the dataset at 546.6 meV/atom. The calculation puts the total moment at 0.000 μB per cell. The value obtained for the formation energy without anion corrections is 0.366 eV per atom.

Lattice parameters (Å, degrees): 7.461 7.461 7.461 90.00 90.00 90.00
Space group F-43m (No. 216)
Asymmetric unit:
K 0.000 0.000 0.000 x4
Be 0.000 0.000 0.500 x4
Te 0.250 0.250 0.750 x4

Computed, not measured: a relaxed KBe2Te crystal at the PBE level of DFT.

Values from the calculation:
The calculation puts the density of states at the Fermi level at 0.894 states/eV/f.u. The calculation puts the total moment at 0.000 μB per cell. The value obtained for the formation energy without anion corrections is 0.391 eV per atom.

Lattice parameters (Å, degrees): 3.037 3.694 7.737 90.00 90.00 90.00
Space group Pmm2 (No. 25)
Asymmetric unit:
K 0.000 0.000 0.000 x1
Be 0.000 0.000 0.618 x1
Be 0.500 0.500 0.637 x1
Te 0.500 0.500 0.324 x1

Computed, not measured: a relaxed KBeTe2 crystal at the PBE level of DFT.

Values from the calculation:
The calculation puts the density of states at the Fermi level at 1.493 states/eV/f.u. The calculation puts the total moment at 0.000 μB per cell. The value obtained for the formation energy without anion corrections is 0.236 eV per atom.

Lattice parameters (Å, degrees): 8.598 8.293 3.188 90.00 99.84 90.00
Space group C2/m (No. 12)
Asymmetric unit:
K 0.000 0.000 0.000 x2
Be 0.000 0.500 0.000 x2
Te 0.250 0.250 0.500 x4

Computed, not measured: a relaxed KBe2Te crystal at the PBE level of DFT.

Values from the calculation:
The calculation puts the density of states at the Fermi level at 1.450 states/eV/f.u. The calculation puts the total moment at 0.000 μB per cell. The value obtained for the formation energy without anion corrections is 0.906 eV per atom.

Lattice parameters (Å, degrees): 7.206 7.206 7.206 90.00 90.00 90.00
Space group F-43m (No. 216)
Asymmetric unit:
K 0.000 0.000 0.000 x4
Be 0.000 0.000 0.500 x4
Be 0.250 0.250 0.750 x4
Te 0.250 0.250 0.250 x4

Computed, not measured: a relaxed KBe2Te crystal at the PBE level of DFT.

Values from the calculation:
The calculation puts the density of states at the Fermi level at 1.835 states/eV/f.u. The calculation puts the total moment at 0.000 μB per cell. The value obtained for the formation energy without anion corrections is 0.371 eV per atom.

Lattice parameters (Å, degrees): 9.394 3.970 5.917 90.00 101.63 90.00
Space group C2/m (No. 12)
Asymmetric unit:
K 0.000 0.000 0.000 x2
Be 0.218 0.000 0.519 x4
Te 0.000 0.500 0.500 x2

Computed, not measured: a relaxed KBeTe crystal at the PBE level of DFT.

Values from the calculation:
The calculation puts the density of states at the Fermi level at 1.735 states/eV/f.u. The calculation puts the excess energy over the best structure of this formula in the dataset at 298.3 meV/atom. The calculation puts the total moment at 0.002 μB per cell. The value obtained for the formation energy without anion corrections is 0.118 eV per atom.

Lattice parameters (Å, degrees): 9.795 13.012 13.419 90.00 90.00 90.00
Space group Fddd (No. 70, origin choice 2)
Asymmetric unit:
K 0.125 0.288 0.125 x16
Be 0.000 0.000 0.500 x16
Te 0.078 0.375 0.875 x16

Computed, not measured: a relaxed KBe2Te crystal at the PBE level of DFT.

Values from the calculation:
The calculation puts the density of states at the Fermi level at 1.406 states/eV/f.u. The calculation puts the total moment at 0.000 μB per cell. The value obtained for the formation energy without anion corrections is 0.821 eV per atom.

Lattice parameters (Å, degrees): 4.576 4.576 8.422 90.00 90.00 90.00
Space group I4/mmm (No. 139)
Asymmetric unit:
K 0.000 0.000 0.000 x2
Be 0.000 0.500 0.250 x4
Te 0.000 0.000 0.500 x2